1.
## SiTcOs (meta-GGA SCAN)

Data for SiTcOs at its PBEsol-relaxed geometry.

a = 2.8820 Å, b = 2.8820 Å, c = 5.1378 Å
α = 106.29°, β = 106.29°, γ = 90.00°
Fractional positions:
Os (0.0130, 0.0130, 0.0260)
Tc (0.3209, 0.3209, 0.6419)
Si (0.6661, 0.6661, 0.3321)

Summary:
E	-39.323	eV/atom
size of the total moment	0.00	μB/cell
space group	No. 107
formation energy from raw total energies	-0.337	eV/atom



2.
## Zr2Co2Si (meta-GGA SCAN)

Data for Zr2Co2Si at its PBEsol-relaxed geometry.

a = 3.6113 Å, b = 5.0510 Å, c = 9.0329 Å
α = 82.55°, β = 78.47°, γ = 69.05°
Fractional positions:
Zr (0.8102, 0.2750, 0.1046)
Zr (0.1898, 0.7250, 0.8954)
Zr (0.9910, 0.3464, 0.6717)
Zr (0.0090, 0.6536, 0.3283)
Co (0.6594, 0.2252, 0.4559)
Co (0.3406, 0.7748, 0.5441)
Co (0.5281, 0.8364, 0.1074)
Co (0.4719, 0.1636, 0.8926)
Si (0.2931, 0.0837, 0.3302)
Si (0.7069, 0.9163, 0.6698)

Summary:
E	-21.715	eV/atom
size of the total moment	0.00	μB/cell
space group	No. 12
formation energy from raw total energies	-0.511	eV/atom



3.
## Sc3TeMo (meta-GGA SCAN)

Data for Sc3TeMo at its PBEsol-relaxed geometry.

a = 4.9700 Å, b = 4.9700 Å, c = 4.9700 Å
α = 90.00°, β = 90.00°, γ = 90.00°
Fractional positions:
Mo (0.0000, 0.0000, 0.0000)
Sc (0.0000, 0.0000, 0.5000)
Sc (0.5000, 0.0000, 0.0000)
Sc (0.0000, 0.5000, 0.0000)
Te (0.5000, 0.5000, 0.5000)

Summary:
E	-22.751	eV/atom
size of the total moment	0.00	μB/cell
space group	No. 221
formation energy from raw total energies	0.218	eV/atom



4.
## CaReNi2 (meta-GGA SCAN)

Data for CaReNi2 at its PBEsol-relaxed geometry.

a = 2.6497 Å, b = 4.4631 Å, c = 5.5235 Å
α = 113.83°, β = 103.88°, γ = 90.00°
Fractional positions:
Ni (0.7469, 0.2469, 0.4938)
Ni (0.0296, 0.0296, 0.0592)
Re (0.4675, 0.4675, 0.9350)
Ca (0.2560, 0.7560, 0.5120)

Summary:
E	-27.894	eV/atom
size of the total moment	0.00	μB/cell
relative energy among the computed polymorphs	0.0	meV/atom
energy relative to the elements	0.383	eV per atom
space group	No. 44



5.
## CaMg3Cu3 (meta-GGA SCAN)

Data for CaMg3Cu3 at its PBEsol-relaxed geometry.

a = 4.3260 Å, b = 8.3365 Å, c = 8.3365 Å
α = 120.00°, β = 90.00°, γ = 90.00°
Fractional positions:
Cu (0.2500, 0.5468, 0.9537)
Cu (0.7500, 0.9537, 0.4069)
Cu (0.7500, 0.4532, 0.0463)
Cu (0.2500, 0.4069, 0.4532)
Cu (0.2500, 0.0463, 0.5931)
Cu (0.7500, 0.5931, 0.5468)
Mg (0.2500, 0.7336, 0.7678)
Mg (0.2500, 0.0342, 0.2664)
Mg (0.7500, 0.7678, 0.0342)
Mg (0.7500, 0.2664, 0.2322)
Mg (0.7500, 0.9658, 0.7336)
Mg (0.2500, 0.2322, 0.9658)
Ca (0.7500, 0.3333, 0.6667)
Ca (0.2500, 0.6667, 0.3333)

Summary:
E	-10.107	eV/atom
size of the total moment	0.00	μB/cell
energy relative to the elements	-0.081	eV per atom
space group	No. 176



6.
## InSbPt2 (meta-GGA SCAN)

Data for InSbPt2 at its PBEsol-relaxed geometry.

a = 3.3214 Å, b = 3.3214 Å, c = 6.6064 Å
α = 90.00°, β = 90.00°, γ = 90.00°
Fractional positions:
In (0.5000, 0.5000, 0.5000)
Sb (0.5000, 0.5000, 0.0000)
Pt (0.0000, 0.0000, 0.2633)
Pt (0.0000, 0.0000, 0.7366)

Summary:
E	-52.945	eV/atom
size of the total moment	0.00	μB/cell
space group	No. 123
formation energy from raw total energies	-0.187	eV/atom



7.
## La2RuSe (meta-GGA SCAN)

Data for La2RuSe at its PBEsol-relaxed geometry.

a = 4.1572 Å, b = 4.1572 Å, c = 7.4685 Å
α = 73.84°, β = 73.84°, γ = 60.00°
Fractional positions:
Se (0.5000, 0.5000, 0.5000)
La (0.7407, 0.7407, 0.7780)
La (0.2593, 0.2593, 0.2220)
Ru (0.0000, 0.0000, 0.0000)

Summary:
E	-36.380	eV/atom
size of the total moment	0.00	μB/cell
space group	No. 166
formation energy from raw total energies	-1.101	eV/atom



8.
## CaTe2Se (meta-GGA SCAN)

Data for CaTe2Se at its PBEsol-relaxed geometry.

a = 4.1129 Å, b = 5.0854 Å, c = 5.0854 Å
α = 101.39°, β = 90.00°, γ = 90.00°
Fractional positions:
Ca (0.5000, 0.0000, 0.0000)
Te (0.0000, 0.5000, 0.0000)
Te (0.0000, 0.0000, 0.5000)
Se (0.5000, 0.5000, 0.5000)

Summary:
E	-26.606	eV/atom
size of the total moment	0.00	μB/cell
space group	No. 65
formation energy from raw total energies	-0.545	eV/atom